This record from Alexandria via LeMat-Bulk describes an optimized crystal structure of CdCu2Ru. The functional is GGA-PBE.

The space group is R-3m (No. 166, hexagonal axes) and the conventional cell measures 2.7540, 2.7540 and 26.8539 Å, with angles of 90.00, 90.00 and 120.00 degrees. The inequivalent atoms are Cd at (0.0000, 0.0000, 0.0000), Cu at (0.0000, 0.0000, 0.2450) and Ru at (0.0000, 0.0000, 0.5000).

The energy relative to the elements is 0.24 eV/atom. For the total moment, the calculation gives 0.001 μB/atom. The theoretical density is 9.62 g/cm³.